An optimized crystal structure of Ce5Y3S8. Source: the Alexandria database, functional PBE-GGA.

Fermi-level density of states in states/eV/atom: 1.560
Calculated density in Mg/m³: 5.69
ΔE_f (raw) in kJ per mole of atoms: -196.4

Cell lengths 7.9497, 7.9497, 19.5847 Å; angles 90.00, 90.00, 120.00 degrees
Space group R-3m (No. 166, hexagonal axes)
Unique sites:
Ce 0.0000 0.0000 0.0000 (multiplicity 3)
Ce 0.0000 0.0000 0.5000 (multiplicity 3)
Ce 0.0000 0.5000 0.0000 (multiplicity 9)
Y 0.0000 0.5000 0.5000 (multiplicity 9)
S 0.0000 0.0000 0.2466 (multiplicity 6)
S 0.0048 0.5024 0.7525 (multiplicity 18)